Record 1
A plane-wave DFT calculation with PBE-GGA was carried out for a relaxed structure of KAgF4.

Output
**Distance to the lowest polymorph of the same formula**: 0.015 eV/atom
**Volume**: 212.2 Å³ per cell
**ΔE_f (raw)**: -167.1 kJ/mol of atoms

a b c (Å): 6.252 4.759 7.649
angles (deg): 90.00 111.22 90.00
Positions (direct):
K: 0.000 0.000 0.000
K: 0.000 0.500 0.500
Ag: 0.500 0.000 0.500
Ag: 0.500 0.500 0.000
F: 0.163 0.028 0.384
F: 0.163 0.472 0.884
F: 0.462 0.675 0.644
F: 0.462 0.825 0.144
F: 0.538 0.175 0.856
F: 0.538 0.325 0.356
F: 0.837 0.528 0.116
F: 0.837 0.972 0.616

---

Record 2
A plane-wave DFT calculation with PBE-GGA was carried out for a relaxed structure of Pm4NdSm15.

Output
**Formation enthalpy at 0 K**: 0.02 eV per atom
**Volume**: 679.7 Å³ per cell

a b c (Å): 5.143 5.143 25.700
angles (deg): 90.00 90.00 90.00
Positions (direct):
Pm: 0.000 0.000 0.100
Pm: 0.000 0.000 0.300
Pm: 0.000 0.000 0.700
Pm: 0.000 0.000 0.900
Nd: 0.000 0.000 0.500
Sm: 0.000 0.500 0.000
Sm: 0.000 0.500 0.200
Sm: 0.000 0.500 0.400
Sm: 0.000 0.500 0.600
Sm: 0.000 0.500 0.800
Sm: 0.500 0.000 0.000
Sm: 0.500 0.000 0.200
Sm: 0.500 0.000 0.400
Sm: 0.500 0.000 0.600
Sm: 0.500 0.000 0.800
Sm: 0.500 0.500 0.100
Sm: 0.500 0.500 0.300
Sm: 0.500 0.500 0.500
Sm: 0.500 0.500 0.700
Sm: 0.500 0.500 0.900

---

Record 3
A plane-wave DFT calculation with PBE-GGA was carried out for a relaxed structure of NaLi2Ge6.

Output
**Formation enthalpy at 0 K**: -0.06 eV per atom
**Volume**: 163.8 Å³ per cell

a b c (Å): 8.260 8.260 2.772
angles (deg): 90.00 90.00 120.00
Positions (direct):
Na: 0.000 0.000 0.000
Li: 0.333 0.667 0.000
Li: 0.667 0.333 0.000
Ge: 0.000 0.341 0.500
Ge: 0.000 0.659 0.500
Ge: 0.341 0.000 0.500
Ge: 0.341 0.341 0.500
Ge: 0.659 0.000 0.500
Ge: 0.659 0.659 0.500

---

Record 4
A plane-wave DFT calculation with PBE-GGA was carried out for a relaxed structure of Sm12HoTl3.

Output
**Formation enthalpy at 0 K**: -0.14 eV per atom
**Volume**: 494.6 Å³ per cell

a b c (Å): 4.946 4.946 20.216
angles (deg): 90.00 90.00 90.00
Positions (direct):
Sm: 0.000 0.000 0.000
Sm: 0.000 0.000 0.246
Sm: 0.000 0.000 0.500
Sm: 0.000 0.000 0.754
Sm: 0.000 0.500 0.123
Sm: 0.000 0.500 0.370
Sm: 0.000 0.500 0.630
Sm: 0.000 0.500 0.877
Sm: 0.500 0.000 0.123
Sm: 0.500 0.000 0.370
Sm: 0.500 0.000 0.630
Sm: 0.500 0.000 0.877
Ho: 0.500 0.500 0.500
Tl: 0.500 0.500 0.000
Tl: 0.500 0.500 0.244
Tl: 0.500 0.500 0.756

---

Record 5
A plane-wave DFT calculation with PBE-GGA was carried out for a relaxed structure of Nb12In3Ir.

Output
**Formation enthalpy at 0 K**: -0.11 eV per atom
**Volume**: 296.6 Å³ per cell

a b c (Å): 5.283 5.286 10.620
angles (deg): 90.00 90.00 90.00
Positions (direct):
Nb: 0.000 0.000 0.118
Nb: 0.000 0.000 0.370
Nb: 0.000 0.000 0.630
Nb: 0.000 0.000 0.882
Nb: 0.245 0.500 0.500
Nb: 0.257 0.500 0.000
Nb: 0.500 0.244 0.241
Nb: 0.500 0.244 0.759
Nb: 0.500 0.756 0.241
Nb: 0.500 0.756 0.759
Nb: 0.743 0.500 0.000
Nb: 0.755 0.500 0.500
In: 0.000 0.500 0.251
In: 0.000 0.500 0.749
In: 0.500 0.000 0.500
Ir: 0.500 0.000 0.000

---

Record 6
A plane-wave DFT calculation with PBE-GGA was carried out for a relaxed structure of FeReBr2.

Output
**Distance to the lowest polymorph of the same formula**: 0.937 eV/atom
**Volume**: 172.6 Å³ per cell
**ΔE_f (raw)**: 120.5 kJ/mol of atoms

a b c (Å): 6.774 6.774 6.774
angles (deg): 131.11 131.11 71.63
Positions (direct):
Fe: 0.000 0.000 0.000
Fe: 0.750 0.250 0.500
Re: 0.250 0.750 0.500
Re: 0.500 0.500 0.000
Br: 0.113 0.625 0.988
Br: 0.375 0.363 0.488
Br: 0.637 0.125 0.012
Br: 0.875 0.887 0.512

---

What did the fourth record say?
A plane-wave DFT calculation with PBE-GGA was carried out for a relaxed structure of Sm12HoTl3.

Output
**Formation enthalpy at 0 K**: -0.14 eV per atom
**Volume**: 494.6 Å³ per cell

a b c (Å): 4.946 4.946 20.216
angles (deg): 90.00 90.00 90.00
Positions (direct):
Sm: 0.000 0.000 0.000
Sm: 0.000 0.000 0.246
Sm: 0.000 0.000 0.500
Sm: 0.000 0.000 0.754
Sm: 0.000 0.500 0.123
Sm: 0.000 0.500 0.370
Sm: 0.000 0.500 0.630
Sm: 0.000 0.500 0.877
Sm: 0.500 0.000 0.123
Sm: 0.500 0.000 0.370
Sm: 0.500 0.000 0.630
Sm: 0.500 0.000 0.877
Ho: 0.500 0.500 0.500
Tl: 0.500 0.500 0.000
Tl: 0.500 0.500 0.244
Tl: 0.500 0.500 0.756

---

Q: What is the volume in the second record?
A: 679.7 Å³ per cell